VASP calculation (PBE-GGA) on a geometry-optimized ZrCdCu structure.

Values from the calculation:
Uncorrected energy, eV/cell: -27.560

Lattice parameters (Å, degrees): 3.082 3.082 11.730 90.00 90.00 90.00
Space group I4mm (No. 107)
Inequivalent atoms, fractional coordinates:
Zr  0.000  0.000  0.000 (multiplicity 2)
Cd  0.000  0.000  0.300 (multiplicity 2)
Cu  0.000  0.000  0.651 (multiplicity 2)